Entry 1:
# NdAl4Cu2Pt

A relaxed structure of NdAl4Cu2Pt (GGA-PBE, Alexandria).

a b c (Å): 9.3641 9.3641 9.3641
angles (deg): 26.07 26.07 26.07
Closest atoms and distances in Å follow each position.
Fractional positions:
Nd (0.0000, 0.0000, 0.0000)  6 Al 3.13, 6 Cu 3.44
Al (0.1302, 0.1302, 0.1302)  3 Pt 2.63, 3 Cu 2.67, 3 Al 2.90
Al (0.4055, 0.4055, 0.4055)  3 Cu 2.48, 1 Pt 2.56
Al (0.5945, 0.5945, 0.5945)  3 Cu 2.48, 1 Pt 2.56
Al (0.8698, 0.8698, 0.8698)  3 Pt 2.63, 3 Cu 2.67, 3 Al 2.90
Cu (0.2437, 0.2437, 0.2437)  6 Al 2.48-2.67
Cu (0.7563, 0.7563, 0.7563)  6 Al 2.48-2.67
Pt (0.5000, 0.5000, 0.5000)  8 Al 2.56-2.63

## Properties
DOS at the Fermi energy = 3.12 states/eV/cell
total magnetic moment = 0.00 μB per cell
energy of formation = -506.7 meV per atom
total DFT energy (no corrections) = -4.753 eV per atom

***

Entry 2:
# BeAlSi

A relaxed structure of BeAlSi (GGA-PBE, Alexandria).

a b c (Å): 4.0374 4.0374 2.8146
angles (deg): 90.00 90.00 120.00
Closest atoms and distances in Å follow each position.
Fractional positions:
Be (0.0000, 0.0000, 0.0000)  3 Si 2.33
Al (0.3333, 0.6667, 0.5000)  6 Be 2.72, 6 Si 2.72, 2 Al 2.81
Si (0.6667, 0.3333, 0.0000)  3 Be 2.33

## Properties
DOS at the Fermi energy = 0.57 states/eV/cell
total magnetic moment = 0.00 μB per cell
formation energy (no corrections) = 0.2886 eV/atom
total DFT energy (no corrections) = -4.009 eV per atom